Record 1
Material: VB2Pt
Method: DFT, GGA-PBE
State: optimized geometry

POSCAR file:
```
VB2Pt
1.0
0.000 2.741 2.741
2.741 0.000 2.741
2.741 2.741 0.000
V B Pt
1 2 1
direct
0.000 0.000 0.000
0.250 0.250 0.250
0.750 0.750 0.750
0.500 0.500 0.500
```

Output
- spin magnetization (μB/cell) = 2.20
- density (g cm⁻³) = 10.788
- E above lowest polymorph (kcal/mol of atoms) = 0.000
- symmetry = Fm-3m
- uncorrected energy (eV per atom) = -6.912

***

Record 2
Material: VB3Pt
Method: DFT, GGA-PBE
State: optimized geometry

POSCAR file:
```
VB3Pt
1.0
4.075 0.000 0.000
0.000 4.075 0.000
0.000 0.000 4.075
V B Pt
1 3 1
direct
0.000 0.000 0.000
0.000 0.500 0.500
0.500 0.000 0.500
0.500 0.500 0.000
0.500 0.500 0.500
```

Output
- spin magnetization (μB/cell) = 3.25
- density (g cm⁻³) = 6.834
- symmetry = Pm-3m
- uncorrected energy (eV per atom) = -5.701

***

Record 3
Material: V3BPt
Method: DFT, GGA-PBE
State: optimized geometry

POSCAR file:
```
V3BPt
1.0
4.590 0.000 0.000
0.000 4.590 0.000
0.000 0.000 4.590
V B Pt
3 1 1
direct
0.000 0.000 0.500
0.000 0.500 0.000
0.500 0.000 0.000
0.500 0.500 0.500
0.000 0.000 0.000
```

Output
- spin magnetization (μB/cell) = 0.00
- density (g cm⁻³) = 6.160
- E above lowest polymorph (kcal/mol of atoms) = 48.132
- symmetry = Pm-3m
- uncorrected energy (eV per atom) = -6.204

***

Record 4
Material: VB3Pt
Method: DFT, GGA-PBE
State: optimized geometry

POSCAR file:
```
VB3Pt
1.0
3.934 0.000 0.000
0.000 3.934 0.000
0.000 0.000 3.934
V B Pt
1 3 1
direct
0.000 0.000 0.000
0.000 0.000 0.500
0.000 0.500 0.000
0.500 0.000 0.000
0.500 0.500 0.500
```

Output
- spin magnetization (μB/cell) = 0.00
- density (g cm⁻³) = 7.596
- symmetry = Pm-3m
- uncorrected energy (eV per atom) = -5.598